No. 1
Below is a geometry-optimized Mn2TcHgCl structure, with properties calculated at the PBE level.

## Properties
The final energy comes out at -27.0 eV per cell. The formation energy without anion corrections is 3.897 eV/f.u. For the density of states at the Fermi level, the calculation gives 0.69 states/eV per atom.

The structure in POSCAR format:
```
Mn2TcHgCl
1.0
4.268 0.000 0.000
0.000 4.268 0.000
0.000 0.000 4.467
Mn Tc Hg Cl
2 1 1 1
direct
0.000 0.500 0.000
0.500 0.000 0.000
0.000 0.000 0.500
0.500 0.500 0.500
0.000 0.000 0.000
```

***

No. 2
Below is a geometry-optimized AlZn2Pd structure, with properties calculated at the PBE level.

## Properties
The formation energy is -369 meV per atom. The final energy comes out at -13.0 eV per cell. For the density of states at the Fermi level, the calculation gives 0.30 states/eV per atom.

The structure in POSCAR format:
```
AlZn2Pd
1.0
3.829 0.000 0.000
0.000 3.829 0.000
0.000 0.000 3.972
Al Zn Pd
1 2 1
direct
0.000 0.000 0.000
0.000 0.500 0.500
0.500 0.000 0.500
0.500 0.500 0.000
```

***

No. 3
Below is a geometry-optimized PmBiPbO6 structure, with properties calculated at the PBE level.

## Properties
The final energy comes out at -111.6 eV per cell. The formation energy without anion corrections is -13.731 eV/f.u. For the density of states at the Fermi level, the calculation gives 0.13 states/eV per atom.

The structure in POSCAR format:
```
PmBiPbO6
1.0
5.153 0.000 0.000
0.000 5.153 0.000
0.000 0.000 10.490
Pm Bi Pb O
2 2 2 12
direct
0.000 0.000 0.000
0.500 0.500 0.500
0.000 0.000 0.666
0.500 0.500 0.166
0.000 0.000 0.332
0.500 0.500 0.832
0.183 0.183 0.503
0.196 0.196 0.821
0.204 0.204 0.173
0.296 0.704 0.673
0.304 0.696 0.321
0.317 0.683 0.003
0.683 0.317 0.003
0.696 0.304 0.321
0.704 0.296 0.673
0.796 0.796 0.173
0.804 0.804 0.821
0.817 0.817 0.503
```

***

No. 4
Below is a geometry-optimized CsAlBiO4 structure, with properties calculated at the PBE level.

## Properties
The final energy comes out at -81.1 eV per cell. The formation energy without anion corrections is -12.237 eV/f.u. For the density of states at the Fermi level, the calculation gives 0.48 states/eV per atom.

The structure in POSCAR format:
```
CsAlBiO4
1.0
5.827 0.000 0.000
0.000 6.039 0.000
-2.839 0.000 7.656
Cs Al Bi O
2 2 2 8
direct
0.190 0.250 0.440
0.810 0.750 0.560
0.239 0.750 0.140
0.761 0.250 0.860
0.292 0.250 0.970
0.708 0.750 0.030
0.010 0.750 0.931
0.052 0.750 0.274
0.456 0.528 0.160
0.456 0.972 0.160
0.544 0.028 0.840
0.544 0.472 0.840
0.948 0.250 0.726
0.990 0.250 0.069
```

***

No. 5
Below is a geometry-optimized SrAlBr structure, with properties calculated at the PBE level.

## Properties
The final energy comes out at -8.3 eV per cell. The formation energy without anion corrections is -1.190 eV/f.u. For the density of states at the Fermi level, the calculation gives 0.50 states/eV per atom.

The structure in POSCAR format:
```
SrAlBr
1.0
5.271 0.000 0.000
-2.635 4.565 0.000
0.000 0.000 3.791
Sr Al Br
1 1 1
direct
0.000 0.000 0.000
0.667 0.333 0.499
0.333 0.667 0.514
```

***

No. 6
Below is a geometry-optimized PbAu3 structure, with properties calculated at the PBE level.

## Properties
The formation energy is 121 meV per atom. The final energy comes out at -13.1 eV per cell. For the density of states at the Fermi level, the calculation gives 0.13 states/eV per atom.

The structure in POSCAR format:
```
PbAu3
1.0
3.187 0.000 0.000
-1.594 2.760 0.000
0.000 0.000 9.617
Pb Au
1 3
direct
0.000 0.000 0.000
0.000 0.000 0.500
0.333 0.667 0.269
0.333 0.667 0.731
```

***

No. 7
Below is a geometry-optimized Ti2GaPb structure, with properties calculated at the PBE level.

## Properties
The formation energy is -25 meV per atom. The final energy comes out at -22.6 eV per cell. For the density of states at the Fermi level, the calculation gives 1.13 states/eV per atom.

The structure in POSCAR format:
```
Ti2GaPb
1.0
1.583 0.914 8.935
-1.583 0.914 8.935
0.000 -1.828 8.935
Ti Ga Pb
2 1 1
direct
0.000 0.000 0.000
0.179 0.179 0.179
0.590 0.590 0.590
0.756 0.756 0.756
```

***

No. 8
Below is a geometry-optimized Sc3NiC structure, with properties calculated at the PBE level.

## Properties
For the distance to the lowest polymorph of the same formula, the calculation gives 0 meV per atom. The formation energy is -284 meV per atom. The final energy comes out at -35.4 eV per cell. For the density of states at the Fermi level, the calculation gives 0.87 states/eV per atom.

The structure in POSCAR format:
```
Sc3NiC
1.0
4.445 0.000 0.000
0.000 4.445 0.000
0.000 0.000 4.445
Sc Ni C
3 1 1
direct
0.000 0.000 0.500
0.000 0.500 0.000
0.500 0.000 0.000
0.500 0.500 0.500
0.000 0.000 0.000
```